Entry 1:
Entry from Alexandria via LeMat-Bulk: crystalline TlMoPIr2 at its relaxed geometry (GGA-PBE).

The structure in POSCAR format:
```
TlMoPIr2
1.0
4.950 0.000 0.000
0.000 4.950 0.000
0.000 0.000 5.152
Tl Mo P Ir
1 1 1 2
direct
0.000 0.000 0.000
0.000 0.000 0.500
0.500 0.500 0.500
0.000 0.500 0.000
0.500 0.000 0.000
```

Calculated values
**ΔH_f (0 K)**: 13.30 eV per formula unit
**Density of states at the Fermi level**: 8.803 states/eV/cell

Entry 2:
Entry from Alexandria via LeMat-Bulk: crystalline NaTbS2 at its relaxed geometry (GGA-PBE).

The structure in POSCAR format:
```
NaTbS2
1.0
1.986 1.147 6.952
-1.986 1.147 6.952
0.000 -2.294 6.952
Na Tb S
1 1 2
direct
0.000 0.000 0.000
0.829 0.829 0.829
0.236 0.236 0.236
0.421 0.421 0.421
```

Calculated values
**Uncorrected formation energy**: -1.80 eV per atom
**Density of states at the Fermi level**: 0.000 states/eV/cell

Entry 3:
Entry from Alexandria via LeMat-Bulk: crystalline CaGdNi4 at its relaxed geometry (GGA-PBE).

The structure in POSCAR format:
```
CaGdNi4
1.0
0.000 3.597 3.597
3.597 0.000 3.597
3.597 3.597 0.000
Ca Gd Ni
1 1 4
direct
0.000 0.000 0.000
0.250 0.250 0.250
0.125 0.625 0.625
0.625 0.125 0.625
0.625 0.625 0.125
0.625 0.625 0.625
```

Calculated values
**ΔH_f (0 K)**: -1.83 eV per formula unit
**Density of states at the Fermi level**: 6.673 states/eV/cell

Q: Look up the density of states at the Fermi level of the first one.
A: 8.803 states/eV/cell

Q: Among the records above, which one has the lowest density of states at the Fermi level?
A: NaTbS2

Q: The highest density of states at the Fermi level belongs to which entry?
A: TlMoPIr2